Here is an optimized crystal structure of SrCa2PbS4 from Alexandria. Energies are from PBE.

abc: 8.318 8.318 8.332
angles: 120.06 120.06 90.01
Fractional positions:
Pb 0.000 0.000 0.000
Ca 0.000 0.000 0.500
Ca 0.500 0.000 0.500
S 0.745 0.755 0.489
Ca 0.500 0.000 0.000
S 0.255 0.245 0.511
S 0.745 0.755 0.011
S 0.264 0.754 0.009
Sr 0.000 0.500 0.500
S 0.254 0.764 0.509
S 0.736 0.246 0.991
Sr 0.000 0.500 0.000
Pb 0.500 0.500 0.500
Ca 0.500 0.500 0.000
S 0.255 0.245 0.989
S 0.746 0.236 0.491

The calculated total energy comes out at -79.59 eV/cell. The calculation puts the magnetization at 0.00 μB/cell. The value obtained for the volume is 25.43 Å³ per atom. The value obtained for the energy relative to the elements, uncorrected is -1.74 eV per atom.